# TbPr2Tm9 (PBE, relaxed)
data_TbPr2Tm9
_chemical_formula_sum 'Tb1 Pr2 Tm9'
_symmetry_space_group_name_H-M 'P 1'
_symmetry_Int_Tables_number 1
_symmetry_space_group_name_Hall 'P 1'
_cell_length_a 11.182
_cell_length_b 11.182
_cell_length_c 3.480
_cell_angle_alpha 90.00
_cell_angle_beta 90.00
_cell_angle_gamma 120.00
loop_
_atom_site_label
_atom_site_fract_x
_atom_site_fract_y
_atom_site_fract_z
_atom_site_occupancy
Tb1 0.000 0.000 0.000 1
Pr1 0.333 0.667 0.000 1
Pr2 0.667 0.333 0.000 1
Tm1 0.000 0.500 0.000 1
Tm2 0.174 0.348 0.500 1
Tm3 0.174 0.826 0.500 1
Tm4 0.348 0.174 0.500 1
Tm5 0.500 0.000 0.000 1
Tm6 0.500 0.500 0.000 1
Tm7 0.652 0.826 0.500 1
Tm8 0.826 0.174 0.500 1
Tm9 0.826 0.652 0.500 1
# Uncorrected energy   -4.457 eV/atom
# DFT formation energy   0.08 eV per atom

=====

# TbPr14Tm (PBE, relaxed)
data_TbPr14Tm
_chemical_formula_sum 'Tb1 Pr14 Tm1'
_symmetry_space_group_name_H-M 'P 1'
_symmetry_Int_Tables_number 1
_symmetry_space_group_name_Hall 'P 1'
_cell_length_a 7.376
_cell_length_b 7.376
_cell_length_c 10.441
_cell_angle_alpha 90.00
_cell_angle_beta 90.00
_cell_angle_gamma 90.00
loop_
_atom_site_label
_atom_site_fract_x
_atom_site_fract_y
_atom_site_fract_z
_atom_site_occupancy
Tb1 0.000 0.000 0.000 1
Pr1 0.000 0.000 0.500 1
Pr2 0.000 0.500 0.000 1
Pr3 0.000 0.500 0.500 1
Pr4 0.251 0.251 0.247 1
Pr5 0.251 0.251 0.753 1
Pr6 0.251 0.749 0.247 1
Pr7 0.251 0.749 0.753 1
Pr8 0.500 0.000 0.000 1
Pr9 0.500 0.000 0.500 1
Pr10 0.500 0.500 0.500 1
Pr11 0.749 0.251 0.247 1
Pr12 0.749 0.251 0.753 1
Pr13 0.749 0.749 0.247 1
Pr14 0.749 0.749 0.753 1
Tm1 0.500 0.500 0.000 1
# Uncorrected energy   -4.738 eV/atom
# DFT formation energy   0.01 eV per atom